The following is a DFT calculation (PBE) of a geometry-optimized MnRe2Os structure.

Unit cell a=8.9367 b=8.9367 c=8.9367 alpha=17.45 beta=17.45 gamma=17.45
Positions (direct):
Mn 0.0000 0.0000 0.0000
Re 0.2536 0.2536 0.2536
Re 0.7464 0.7464 0.7464
Os 0.5000 0.5000 0.5000

## Properties
DFT total energy: -0.8234 Ry/atom
space-group type: R-3m (166)
total magnetization: 0.00 μB/atom
V: 14.00 A^3/atom
offset from the most stable computed form: 73.5 meV per atom
ρ: 18.32 g/cm³
ΔE_f: 121 meV/atom



The following is a DFT calculation (PBE) of a geometry-optimized Mn8Re3Os structure.

Unit cell a=4.6636 b=4.6636 c=7.6274 alpha=90.00 beta=90.00 gamma=120.00
Positions (direct):
Mn 0.0000 0.0000 0.0000
Mn 0.0000 0.0000 0.4994
Mn 0.1742 0.3484 0.7487
Mn 0.1742 0.8258 0.7487
Mn 0.3485 0.1742 0.2495
Mn 0.6516 0.8258 0.7487
Mn 0.8258 0.1742 0.2495
Mn 0.8258 0.6515 0.2495
Re 0.3333 0.6667 0.0675
Re 0.3333 0.6667 0.4319
Re 0.6667 0.3333 0.9308
Os 0.6667 0.3333 0.5689

## Properties
DFT total energy: -0.7539 Ry/atom
space-group type: P3m1 (156)
total magnetization: 0.02 μB/atom
V: 11.97 A^3/atom
ρ: 13.74 g/cm³
ΔE_f: -97 meV/atom



The following is a DFT calculation (PBE) of a geometry-optimized MnRe2Os structure.

Unit cell a=4.3385 b=4.3385 c=4.3385 alpha=60.00 beta=60.00 gamma=60.00
Positions (direct):
Mn 0.0000 0.0000 0.0000
Re 0.5000 0.5000 0.5000
Re 0.7500 0.7500 0.7500
Os 0.2500 0.2500 0.2500

## Properties
DFT total energy: -0.8165 Ry/atom
space-group type: F-43m (216)
total magnetization: 0.83 μB/atom
V: 14.44 A^3/atom
offset from the most stable computed form: 168.1 meV per atom
ρ: 17.76 g/cm³
ΔE_f: 215 meV/atom



The following is a DFT calculation (PBE) of a geometry-optimized MnReOs2 structure.

Unit cell a=2.7087 b=2.7087 c=7.5173 alpha=90.00 beta=90.00 gamma=90.00
Positions (direct):
Mn 0.0000 0.0000 0.0000
Re 0.5000 0.5000 0.7544
Os 0.0000 0.0000 0.4939
Os 0.5000 0.5000 0.2323

## Properties
DFT total energy: -0.8022 Ry/atom
space-group type: P4mm (99)
total magnetization: 0.26 μB/atom
V: 13.79 A^3/atom
offset from the most stable computed form: 49.2 meV per atom
ρ: 18.71 g/cm³
ΔE_f: 105 meV/atom



The following is a DFT calculation (PBE) of a geometry-optimized MnReOs2 structure.

Unit cell a=5.2063 b=5.2063 c=5.2063 alpha=148.12 beta=130.12 gamma=60.43
Positions (direct):
Mn 0.0000 0.0000 0.0000
Re 0.5000 0.5000 0.0000
Os 0.2252 0.7252 0.5000
Os 0.7748 0.2748 0.5000

## Properties
DFT total energy: -0.7901 Ry/atom
space-group type: Immm (71)
total magnetization: 0.65 μB/atom
V: 14.12 A^3/atom
offset from the most stable computed form: 213.0 meV per atom
ρ: 18.27 g/cm³
ΔE_f: 269 meV/atom



The following is a DFT calculation (PBE) of a geometry-optimized MnRe2Os structure.

Unit cell a=5.0930 b=5.0930 c=5.0930 alpha=145.12 beta=130.12 gamma=62.30
Positions (direct):
Mn 0.0000 0.0000 0.0000
Re 0.2369 0.7369 0.5000
Re 0.7631 0.2631 0.5000
Os 0.5000 0.5000 0.0000

## Properties
DFT total energy: -0.8188 Ry/atom
space-group type: Immm (71)
total magnetization: 0.71 μB/atom
V: 14.29 A^3/atom
offset from the most stable computed form: 137.0 meV per atom
ρ: 17.95 g/cm³
ΔE_f: 184 meV/atom



The following is a DFT calculation (PBE) of a geometry-optimized Mn12Re3Os5 structure.

Unit cell a=11.9025 b=11.9025 c=11.9025 alpha=109.47 beta=109.47 gamma=109.47
Positions (direct):
Mn 0.0650 0.2312 0.1397
Mn 0.0650 0.3338 0.9253
Mn 0.0747 0.6397 0.4085
Mn 0.0747 0.9350 0.6662
Mn 0.0915 0.7312 0.6662
Mn 0.0915 0.8603 0.4253
Mn 0.1397 0.0650 0.2312
Mn 0.1397 0.5747 0.9085
Mn 0.1662 0.2312 0.5915
Mn 0.1662 0.4350 0.5747
Mn 0.2312 0.1397 0.0650
Mn 0.2312 0.5915 0.1662
Mn 0.2688 0.3338 0.9085
Mn 0.2688 0.4350 0.3603
Mn 0.3338 0.9085 0.2688
Mn 0.3338 0.9253 0.0650
Mn 0.3603 0.2688 0.4350
Mn 0.3603 0.5915 0.9253
Mn 0.4085 0.0747 0.6397
Mn 0.4085 0.8338 0.7688
Mn 0.4253 0.0915 0.8603
Mn 0.4253 0.8338 0.5650
Mn 0.4350 0.3603 0.2688
Mn 0.4350 0.5747 0.1662
Mn 0.5650 0.4253 0.8338
Mn 0.5650 0.6397 0.7312
Mn 0.5747 0.1662 0.4350
Mn 0.5747 0.9085 0.1397
Mn 0.5915 0.1662 0.2312
Mn 0.5915 0.9253 0.3603
Mn 0.6397 0.4085 0.0747
Mn 0.6397 0.7312 0.5650
Mn 0.6662 0.0747 0.9350
Mn 0.6662 0.0915 0.7312
Mn 0.7312 0.5650 0.6397
Mn 0.7312 0.6662 0.0915
Mn 0.7688 0.4085 0.8338
Mn 0.7688 0.8603 0.9350
Mn 0.8338 0.5650 0.4253
Mn 0.8338 0.7688 0.4085
Mn 0.8603 0.4253 0.0915
Mn 0.8603 0.9350 0.7688
Mn 0.9085 0.1397 0.5747
Mn 0.9085 0.2688 0.3338
Mn 0.9253 0.0650 0.3338
Mn 0.9253 0.3603 0.5915
Mn 0.9350 0.6662 0.0747
Mn 0.9350 0.7688 0.8603
Re 0.1250 0.2500 0.3750
Re 0.1250 0.3750 0.7500
Re 0.2500 0.3750 0.1250
Re 0.2500 0.8750 0.6250
Re 0.3750 0.1250 0.2500
Re 0.3750 0.7500 0.1250
Re 0.6250 0.2500 0.8750
Re 0.6250 0.8750 0.7500
Re 0.7500 0.1250 0.3750
Re 0.7500 0.6250 0.8750
Re 0.8750 0.6250 0.2500
Re 0.8750 0.7500 0.6250
Os 0.0000 0.0000 0.0000
Os 0.0000 0.0000 0.5000
Os 0.0000 0.5000 0.0000
Os 0.0000 0.5000 0.5000
Os 0.1250 0.7500 0.8750
Os 0.1250 0.8750 0.2500
Os 0.2500 0.1250 0.8750
Os 0.2500 0.6250 0.3750
Os 0.3750 0.2500 0.6250
Os 0.3750 0.6250 0.7500
Os 0.5000 0.0000 0.0000
Os 0.5000 0.0000 0.5000
Os 0.5000 0.5000 0.0000
Os 0.5000 0.5000 0.5000
Os 0.6250 0.3750 0.2500
Os 0.6250 0.7500 0.3750
Os 0.7500 0.3750 0.6250
Os 0.7500 0.8750 0.1250
Os 0.8750 0.1250 0.7500
Os 0.8750 0.2500 0.1250

## Properties
DFT total energy: -0.6705 Ry/atom
space-group type: Ia-3d (230)
total magnetization: 0.62 μB/atom
V: 16.23 A^3/atom
ρ: 11.10 g/cm³
ΔE_f: 1054 meV/atom



The following is a DFT calculation (PBE) of a geometry-optimized MnRe2Os structure.

Unit cell a=4.6908 b=4.6908 c=2.7184 alpha=90.00 beta=90.00 gamma=109.65
Positions (direct):
Mn 0.0000 0.0000 0.0000
Re 0.0000 0.5000 0.5000
Re 0.5000 0.0000 0.5000
Os 0.5000 0.5000 0.0000

## Properties
DFT total energy: -0.8275 Ry/atom
space-group type: Cmmm (65)
total magnetization: 0.28 μB/atom
V: 14.08 A^3/atom
offset from the most stable computed form: 17.8 meV per atom
ρ: 18.21 g/cm³
ΔE_f: 65 meV/atom